[1]
Cr2SiSe | GGA-PBE | optimized geometry

The space-group type is I-42d. As for the final energy: -6.666 eV per atom. The value obtained for the energy above the lowest structure with this stoichiometry is 0.421 eV/atom.

a b c (Å): 5.4827 5.4827 11.7707
angles (deg): 90.00 90.00 90.00
Last column: nearest neighbours and their distance in Å.
Element x y z (fractional)
1 Cr 0.2396 0.2500 0.1250  2 Si 2.40, 2 Se 2.47
2 Cr 0.2500 0.7396 0.3750  2 Si 2.40, 2 Se 2.47
3 Cr 0.2500 0.7604 0.8750  2 Si 2.40, 2 Se 2.47
4 Cr 0.2604 0.2500 0.6250  2 Si 2.40, 2 Se 2.47
5 Cr 0.7396 0.7500 0.6250  2 Si 2.40, 2 Se 2.47
6 Cr 0.7500 0.2396 0.8750  2 Si 2.40, 2 Se 2.47
7 Cr 0.7500 0.2604 0.3750  2 Si 2.40, 2 Se 2.47
8 Cr 0.7604 0.7500 0.1250  2 Si 2.40, 2 Se 2.47
9 Si 0.0000 0.0000 0.0000  4 Cr 2.40
10 Si 0.0000 0.5000 0.2500  4 Cr 2.40
11 Si 0.5000 0.0000 0.7500  4 Cr 2.40
12 Si 0.5000 0.5000 0.5000  4 Cr 2.40
13 Se 0.0000 0.0000 0.5000  4 Cr 2.47
14 Se 0.0000 0.5000 0.7500  4 Cr 2.47
15 Se 0.5000 0.0000 0.2500  4 Cr 2.47
16 Se 0.5000 0.5000 0.0000  4 Cr 2.47

[2]
CrSi2Se2 | GGA-PBE | optimized geometry

The space-group type is I4/mmm. As for the final energy: -4.873 eV per atom. The value obtained for the energy above the lowest structure with this stoichiometry is 0.149 eV/atom.

a b c (Å): 5.0451 5.0451 7.0889
angles (deg): 90.00 90.00 90.00
Last column: nearest neighbours and their distance in Å.
Element x y z (fractional)
1 Cr 0.0000 0.0000 0.0000  2 Si 2.40
2 Cr 0.5000 0.5000 0.5000  2 Si 2.40
3 Si 0.0000 0.0000 0.3381  1 Si 2.29, 1 Cr 2.40
4 Si 0.0000 0.0000 0.6619  1 Si 2.29, 1 Cr 2.40
5 Si 0.5000 0.5000 0.1619  1 Si 2.29, 1 Cr 2.40
6 Si 0.5000 0.5000 0.8381  1 Si 2.29, 1 Cr 2.40
7 Se 0.0000 0.5000 0.2500  4 Si 2.60
8 Se 0.0000 0.5000 0.7500  4 Si 2.60
9 Se 0.5000 0.0000 0.2500  4 Si 2.60
10 Se 0.5000 0.0000 0.7500  4 Si 2.60

[3]
Cr2SiSe | GGA-PBE | optimized geometry

The space-group type is R3m. As for the final energy: -6.809 eV per atom. The value obtained for the energy above the lowest structure with this stoichiometry is 0.278 eV/atom.

a b c (Å): 2.9643 2.9643 22.3132
angles (deg): 90.00 90.00 120.00
Last column: nearest neighbours and their distance in Å.
Element x y z (fractional)
1 Cr 0.0000 0.0000 0.0000  3 Si 2.40, 3 Cr 2.50
2 Cr 0.0000 0.0000 0.2516  3 Se 2.41, 3 Cr 2.50
3 Cr 0.3333 0.6667 0.6667  3 Si 2.40, 3 Cr 2.50
4 Cr 0.3333 0.6667 0.9182  3 Se 2.41, 3 Cr 2.50
5 Cr 0.6667 0.3333 0.3333  3 Si 2.40, 3 Cr 2.50
6 Cr 0.6667 0.3333 0.5849  3 Se 2.41, 3 Cr 2.50
7 Si 0.0000 0.0000 0.7418  3 Cr 2.40
8 Si 0.3333 0.6667 0.4084  3 Cr 2.40
9 Si 0.6667 0.3333 0.0751  3 Cr 2.40
10 Se 0.0000 0.0000 0.5088  3 Cr 2.41
11 Se 0.3333 0.6667 0.1755  3 Cr 2.41
12 Se 0.6667 0.3333 0.8421  3 Cr 2.41

[4]
CrSi2Se | GGA-PBE | optimized geometry

The space-group type is P4mm. As for the final energy: -5.862 eV per atom.

a b c (Å): 2.9906 2.9906 7.1934
angles (deg): 90.00 90.00 90.00
Last column: nearest neighbours and their distance in Å.
Element x y z (fractional)
1 Cr 0.0000 0.0000 0.0000  5 Si 2.49-2.75, 4 Se 2.56
2 Si 0.0000 0.0000 0.6181  4 Si 2.56, 1 Cr 2.75
3 Si 0.5000 0.5000 0.8182  4 Cr 2.49, 4 Si 2.56, 1 Se 2.75
4 Se 0.5000 0.5000 0.2007  4 Cr 2.56, 1 Si 2.75

[5]
CrSi2Se | GGA-PBE | optimized geometry

The space-group type is P4/mmm. As for the final energy: -5.739 eV per atom.

a b c (Å): 2.5354 2.5354 11.3124
angles (deg): 90.00 90.00 90.00
Last column: nearest neighbours and their distance in Å.
Element x y z (fractional)
1 Cr 0.0000 0.0000 0.0000  4 Cr 2.54, 8 Si 2.62
2 Si 0.5000 0.5000 0.1686  4 Si 2.54, 4 Cr 2.62
3 Si 0.5000 0.5000 0.8314  4 Si 2.54, 4 Cr 2.62
4 Se 0.0000 0.0000 0.5000  4 Se 2.54

[6]
CrSiSe2 | GGA-PBE | optimized geometry

The space-group type is R-3m. As for the final energy: -5.507 eV per atom.

a b c (Å): 3.4842 3.4842 24.7620
angles (deg): 90.00 90.00 120.00
Last column: nearest neighbours and their distance in Å.
Element x y z (fractional)
1 Cr 0.0000 0.0000 0.0000  6 Se 2.49
2 Cr 0.3333 0.6667 0.6667  6 Se 2.49
3 Cr 0.6667 0.3333 0.3333  6 Se 2.49
4 Si 0.0000 0.0000 0.5000  2 Se 2.66
5 Si 0.3333 0.6667 0.1667  2 Se 2.66
6 Si 0.6667 0.3333 0.8333  2 Se 2.66
7 Se 0.0000 0.0000 0.3924  3 Cr 2.49, 1 Si 2.66
8 Se 0.0000 0.0000 0.6076  3 Cr 2.49, 1 Si 2.66
9 Se 0.3333 0.6667 0.0590  3 Cr 2.49, 1 Si 2.66
10 Se 0.3333 0.6667 0.2743  3 Cr 2.49, 1 Si 2.66
11 Se 0.6667 0.3333 0.7257  3 Cr 2.49, 1 Si 2.66
12 Se 0.6667 0.3333 0.9410  3 Cr 2.49, 1 Si 2.66

[7]
CrSiSe2 | GGA-PBE | optimized geometry

The space-group type is R-3m. As for the final energy: -5.382 eV per atom.

a b c (Å): 3.1266 3.1266 25.3009
angles (deg): 90.00 90.00 120.00
Last column: nearest neighbours and their distance in Å.
Element x y z (fractional)
1 Cr 0.0000 0.0000 0.0000  6 Se 2.44
2 Cr 0.3333 0.6667 0.6667  6 Se 2.44
3 Cr 0.6667 0.3333 0.3333  6 Se 2.44
4 Si 0.0000 0.0000 0.5000  6 Si 3.13, 6 Se 3.15
5 Si 0.3333 0.6667 0.1667  6 Si 3.13, 6 Se 3.15
6 Si 0.6667 0.3333 0.8333  6 Si 3.13, 6 Se 3.15
7 Se 0.0000 0.0000 0.2687  3 Cr 2.44
8 Se 0.0000 0.0000 0.7313  3 Cr 2.44
9 Se 0.3333 0.6667 0.3979  3 Cr 2.44
10 Se 0.3333 0.6667 0.9354  3 Cr 2.44
11 Se 0.6667 0.3333 0.0646  3 Cr 2.44
12 Se 0.6667 0.3333 0.6021  3 Cr 2.44

[8]
Cr2SiSe | GGA-PBE | optimized geometry

The space-group type is P4mm. As for the final energy: -7.006 eV per atom. The value obtained for the energy above the lowest structure with this stoichiometry is 0.081 eV/atom.

a b c (Å): 3.1103 3.1103 5.4963
angles (deg): 90.00 90.00 90.00
Last column: nearest neighbours and their distance in Å.
Element x y z (fractional)
1 Cr 0.0000 0.0000 0.0000  4 Si 2.37
2 Cr 0.5000 0.5000 0.3089  4 Se 2.45, 1 Si 2.59
3 Si 0.5000 0.5000 0.8378  5 Cr 2.37-2.59
4 Se 0.0000 0.0000 0.5044  5 Cr 2.45-2.72

Across the entries above, formation energy (no corrections) takes the values 144; 297; 89; 49; 96; -1; 47; 13 kJ/mol of formula units, respectively.